VASP calculation (PBE) on an optimized crystal structure of Tm4InSb.

## Properties
**Final energy**: -4.530 eV/atom
**Raw formation energy**: -0.41 eV per atom
**Magnetization**: 0.000 μB/atom
**Space-group type**: C2/c (15)
**Density of states at the Fermi level**: 7.10 states/eV/f.u.

Unit cell a=7.8039 b=7.8039 c=6.3984 alpha=99.92 beta=99.92 gamma=113.87
Last column: nearest neighbours and their distance in Å.
Element x y z (fractional)
1 Tm 0.0989 0.7106 0.9461  2 Sb 3.10, 2 In 3.15-3.45, 4 Tm 3.27-3.45
2 Tm 0.2042 0.4013 0.5995  2 Sb 3.13-3.26, 2 In 3.20, 3 Tm 3.30-3.45
3 Tm 0.2894 0.9011 0.5539  2 Sb 3.10, 2 In 3.15-3.45, 4 Tm 3.27-3.45
4 Tm 0.4013 0.2042 0.0995  2 Sb 3.13-3.26, 2 In 3.20, 3 Tm 3.30-3.45
5 Tm 0.5987 0.7958 0.9005  2 Sb 3.13-3.26, 2 In 3.20, 3 Tm 3.30-3.45
6 Tm 0.7106 0.0989 0.4461  2 Sb 3.10, 2 In 3.15-3.45, 4 Tm 3.27-3.45
7 Tm 0.7958 0.5987 0.4005  2 Sb 3.13-3.26, 2 In 3.20, 3 Tm 3.30-3.45
8 Tm 0.9011 0.2894 0.0539  2 Sb 3.10, 2 In 3.15-3.45, 4 Tm 3.27-3.45
9 In 0.3887 0.6113 0.2500  8 Tm 3.15-3.45
10 In 0.6113 0.3887 0.7500  8 Tm 3.15-3.45
11 Sb 0.0044 0.9956 0.2500  8 Tm 3.10-3.26, 2 Sb 3.20
12 Sb 0.9956 0.0044 0.7500  8 Tm 3.10-3.26, 2 Sb 3.20


VASP calculation (PBE) on an optimized crystal structure of Te2AsP.

## Properties
**Final energy**: -3.609 eV/atom
**Raw formation energy**: 0.48 eV per atom
**Magnetization**: 0.000 μB/atom
**Space-group type**: I-4m2 (119)
**Density of states at the Fermi level**: 2.79 states/eV/f.u.
**Relative energy among the computed polymorphs**: 340 meV/atom

Unit cell a=3.8732 b=3.8732 c=16.0208 alpha=90.00 beta=90.00 gamma=90.00
Last column: nearest neighbours and their distance in Å.
Element x y z (fractional)
1 Te 0.0000 0.0000 0.0000  4 P 2.74
2 Te 0.0000 0.5000 0.2500  4 As 2.74
3 Te 0.5000 0.0000 0.7500  4 As 2.74
4 Te 0.5000 0.5000 0.5000  4 P 2.74
5 As 0.0000 0.5000 0.7500  4 Te 2.74
6 As 0.5000 0.0000 0.2500  4 Te 2.74
7 P 0.0000 0.0000 0.5000  4 Te 2.74
8 P 0.5000 0.5000 0.0000  4 Te 2.74


VASP calculation (PBE) on an optimized crystal structure of Tb2PmCrN4.

## Properties
**Final energy**: -8.332 eV/atom
**Raw formation energy**: -1.21 eV per atom
**Magnetization**: 0.220 μB/atom
**Space-group type**: Cmcm (63)
**Density of states at the Fermi level**: 3.51 states/eV/f.u.

Unit cell a=6.0358 b=6.0358 c=11.6934 alpha=90.00 beta=90.00 gamma=147.14
Last column: nearest neighbours and their distance in Å.
Element x y z (fractional)
1 Tb 0.1311 0.8689 0.5433  6 N 2.34-2.52
2 Tb 0.1311 0.8689 0.9567  6 N 2.34-2.52
3 Tb 0.8689 0.1311 0.0433  6 N 2.34-2.52
4 Tb 0.8689 0.1311 0.4567  6 N 2.34-2.52
5 Pm 0.4014 0.5986 0.7500  6 N 2.65-2.71
6 Pm 0.5986 0.4014 0.2500  6 N 2.65-2.71
7 Cr 0.3343 0.6657 0.2500  4 N 1.83-2.00
8 Cr 0.6657 0.3343 0.7500  4 N 1.83-2.00
9 N 0.0765 0.9235 0.7500  2 Cr 2.00
10 N 0.2340 0.7660 0.1296  1 Cr 1.83
11 N 0.2340 0.7660 0.3704  1 Cr 1.83
12 N 0.5000 0.5000 0.0000  4 Tb 2.34
13 N 0.5000 0.5000 0.5000  4 Tb 2.34
14 N 0.7660 0.2340 0.6296  1 Cr 1.83
15 N 0.7660 0.2340 0.8704  1 Cr 1.83
16 N 0.9235 0.0765 0.2500  2 Cr 2.00


VASP calculation (PBE) on an optimized crystal structure of LaZr3As.

## Properties
**Final energy**: -7.148 eV/atom
**Magnetization**: 0.000 μB/atom
**Space-group type**: Pm-3m (221)
**Density of states at the Fermi level**: 6.46 states/eV/f.u.
**Formation enthalpy at 0 K**: -104 meV/atom
**Relative energy among the computed polymorphs**: 0 meV/atom

Unit cell a=5.1606 b=5.1606 c=5.1606 alpha=90.00 beta=90.00 gamma=90.00
Last column: nearest neighbours and their distance in Å.
Element x y z (fractional)
1 La 0.0000 0.0000 0.0000  12 Zr 3.65
2 Zr 0.0000 0.5000 0.5000  2 As 2.58
3 Zr 0.5000 0.0000 0.5000  2 As 2.58
4 Zr 0.5000 0.5000 0.0000  2 As 2.58
5 As 0.5000 0.5000 0.5000  6 Zr 2.58


VASP calculation (PBE) on an optimized crystal structure of Ce2TlSn.

## Properties
**Final energy**: -4.981 eV/atom
**Magnetization**: 0.586 μB/atom
**Space-group type**: P4/mmm (123)
**Density of states at the Fermi level**: 11.47 states/eV/f.u.
**Formation enthalpy at 0 K**: -422 meV/atom

Unit cell a=4.1637 b=4.1637 c=6.5628 alpha=90.00 beta=90.00 gamma=90.00
Last column: nearest neighbours and their distance in Å.
Element x y z (fractional)
1 Ce 0.0000 0.0000 0.2280  1 Ce 2.99, 4 Sn 3.30
2 Ce 0.0000 0.0000 0.7720  1 Ce 2.99, 4 Sn 3.30
3 Tl 0.5000 0.5000 0.5000  2 Sn 3.28, 8 Ce 3.44
4 Sn 0.5000 0.5000 0.0000  2 Tl 3.28, 8 Ce 3.30


VASP calculation (PBE) on an optimized crystal structure of Na2LaSmSe4.

## Properties
**Final energy**: -5.001 eV/atom
**Raw formation energy**: -1.72 eV per atom
**Magnetization**: 0.000 μB/atom
**Space-group type**: P2/m (10)
**Density of states at the Fermi level**: 0.00 states/eV/f.u.

Unit cell a=7.4227 b=4.3088 c=7.4644 alpha=90.00 beta=109.66 gamma=90.00
Last column: nearest neighbours and their distance in Å.
Element x y z (fractional)
1 Na 0.0000 0.0000 0.0000  6 Se 3.07-3.08
2 Na 0.0000 0.5000 0.5000  6 Se 3.12-3.14
3 La 0.5000 0.0000 0.5000  6 Se 3.01
4 Sm 0.5000 0.5000 0.0000  6 Se 2.95-2.96
5 Se 0.2635 0.5000 0.2480  1 Sm 2.95, 2 La 3.01, 3 Na 3.08-3.14
6 Se 0.2656 0.0000 0.7606  2 Sm 2.96, 1 La 3.01, 3 Na 3.07-3.12
7 Se 0.7344 0.0000 0.2394  2 Sm 2.96, 1 La 3.01, 3 Na 3.07-3.12
8 Se 0.7365 0.5000 0.7520  1 Sm 2.95, 2 La 3.01, 3 Na 3.08-3.14


VASP calculation (PBE) on an optimized crystal structure of NpScSnHg.

## Properties
**Final energy**: -6.022 eV/atom
**Magnetization**: 1.304 μB/atom
**Space-group type**: F-43m (216)
**Density of states at the Fermi level**: 6.51 states/eV/f.u.
**Formation enthalpy at 0 K**: -128 meV/atom

Unit cell a=7.3220 b=7.3220 c=7.3220 alpha=90.00 beta=90.00 gamma=90.00
Last column: nearest neighbours and their distance in Å.
Element x y z (fractional)
1 Np 0.0000 0.0000 0.0000  4 Hg 3.17, 4 Sn 3.17
2 Np 0.0000 0.5000 0.5000  4 Hg 3.17, 4 Sn 3.17
3 Np 0.5000 0.0000 0.5000  4 Hg 3.17, 4 Sn 3.17
4 Np 0.5000 0.5000 0.0000  4 Hg 3.17, 4 Sn 3.17
5 Sc 0.0000 0.0000 0.5000  4 Sn 3.17, 4 Hg 3.17
6 Sc 0.0000 0.5000 0.0000  4 Sn 3.17, 4 Hg 3.17
7 Sc 0.5000 0.0000 0.0000  4 Sn 3.17, 4 Hg 3.17
8 Sc 0.5000 0.5000 0.5000  4 Sn 3.17, 4 Hg 3.17
9 Sn 0.2500 0.2500 0.7500  4 Np 3.17, 4 Sc 3.17
10 Sn 0.2500 0.7500 0.2500  4 Np 3.17, 4 Sc 3.17
11 Sn 0.7500 0.2500 0.2500  4 Np 3.17, 4 Sc 3.17
12 Sn 0.7500 0.7500 0.7500  4 Np 3.17, 4 Sc 3.17
13 Hg 0.2500 0.2500 0.2500  4 Np 3.17, 4 Sc 3.17
14 Hg 0.2500 0.7500 0.7500  4 Np 3.17, 4 Sc 3.17
15 Hg 0.7500 0.2500 0.7500  4 Np 3.17, 4 Sc 3.17
16 Hg 0.7500 0.7500 0.2500  4 Np 3.17, 4 Sc 3.17


VASP calculation (PBE) on an optimized crystal structure of BaMn2Cd2.

## Properties
**Final energy**: -4.118 eV/atom
**Magnetization**: 1.551 μB/atom
**Space-group type**: I4/mmm (139)
**Density of states at the Fermi level**: 4.48 states/eV/f.u.
**Formation enthalpy at 0 K**: 300 meV/atom

Unit cell a=4.8696 b=4.8696 c=11.2181 alpha=90.00 beta=90.00 gamma=90.00
Last column: nearest neighbours and their distance in Å.
Element x y z (fractional)
1 Ba 0.0000 0.0000 0.0000  8 Mn 3.71, 8 Cd 3.73
2 Ba 0.5000 0.5000 0.5000  8 Mn 3.71, 8 Cd 3.73
3 Mn 0.0000 0.5000 0.2500  4 Cd 2.79
4 Mn 0.0000 0.5000 0.7500  4 Cd 2.79
5 Mn 0.5000 0.0000 0.2500  4 Cd 2.79
6 Mn 0.5000 0.0000 0.7500  4 Cd 2.79
7 Cd 0.0000 0.0000 0.3718  4 Mn 2.79, 1 Cd 2.88
8 Cd 0.0000 0.0000 0.6282  4 Mn 2.79, 1 Cd 2.88
9 Cd 0.5000 0.5000 0.1282  4 Mn 2.79, 1 Cd 2.88
10 Cd 0.5000 0.5000 0.8718  4 Mn 2.79, 1 Cd 2.88


VASP calculation (PBE) on an optimized crystal structure of Ce4TmTh15.

## Properties
**Final energy**: -6.963 eV/atom
**Magnetization**: 0.000 μB/atom
**Space-group type**: P4/mmm (123)
**Density of states at the Fermi level**: 26.80 states/eV/f.u.
**Formation enthalpy at 0 K**: 12 meV/atom

Unit cell a=4.9919 b=4.9919 c=24.8568 alpha=90.00 beta=90.00 gamma=90.00
Last column: nearest neighbours and their distance in Å.
Element x y z (fractional)
1 Ce 0.0000 0.0000 0.0995  12 Th 3.51-3.53
2 Ce 0.0000 0.0000 0.2987  12 Th 3.51-3.53
3 Ce 0.0000 0.0000 0.7013  12 Th 3.51-3.53
4 Ce 0.0000 0.0000 0.9005  12 Th 3.51-3.53
5 Tm 0.0000 0.0000 0.5000  12 Th 3.53-3.55
6 Th 0.0000 0.5000 0.0000  8 Th 3.51-3.53, 4 Ce 3.51
7 Th 0.0000 0.5000 0.1988  8 Th 3.50-3.53, 4 Ce 3.51-3.52
8 Th 0.0000 0.5000 0.3982  2 Ce 3.51, 8 Th 3.53-3.55, 2 Tm 3.55
9 Th 0.0000 0.5000 0.6018  2 Ce 3.51, 8 Th 3.53-3.55, 2 Tm 3.55
10 Th 0.0000 0.5000 0.8012  8 Th 3.50-3.53, 4 Ce 3.51-3.52
11 Th 0.5000 0.0000 0.0000  8 Th 3.51-3.53, 4 Ce 3.51
12 Th 0.5000 0.0000 0.1988  8 Th 3.50-3.53, 4 Ce 3.51-3.52
13 Th 0.5000 0.0000 0.3982  2 Ce 3.51, 8 Th 3.53-3.55, 2 Tm 3.55
14 Th 0.5000 0.0000 0.6018  2 Ce 3.51, 8 Th 3.53-3.55, 2 Tm 3.55
15 Th 0.5000 0.0000 0.8012  8 Th 3.50-3.53, 4 Ce 3.51-3.52
16 Th 0.5000 0.5000 0.0993  8 Th 3.51, 4 Ce 3.53
17 Th 0.5000 0.5000 0.2976  8 Th 3.50-3.53, 4 Ce 3.53
18 Th 0.5000 0.5000 0.5000  4 Tm 3.53, 8 Th 3.55
19 Th 0.5000 0.5000 0.7024  8 Th 3.50-3.53, 4 Ce 3.53
20 Th 0.5000 0.5000 0.9007  8 Th 3.51, 4 Ce 3.53


VASP calculation (PBE) on an optimized crystal structure of As2RhPbO6.

## Properties
**Final energy**: -5.915 eV/atom
**Raw formation energy**: -0.90 eV per atom
**Magnetization**: 0.091 μB/atom
**Space-group type**: C2/c (15)
**Density of states at the Fermi level**: 2.06 states/eV/f.u.

Unit cell a=7.2000 b=7.2000 c=6.4303 alpha=107.98 beta=107.98 gamma=86.28
Last column: nearest neighbours and their distance in Å.
Element x y z (fractional)
1 As 0.1634 0.1927 0.2564  4 O 1.73-1.93
2 As 0.1927 0.1634 0.7564  4 O 1.73-1.93
3 As 0.8073 0.8366 0.2436  4 O 1.73-1.93
4 As 0.8366 0.8073 0.7436  4 O 1.73-1.93
5 Rh 0.1463 0.8537 0.2500  2 O 1.98
6 Rh 0.8537 0.1463 0.7500  2 O 1.98
7 Pb 0.3671 0.6329 0.7500  4 O 2.45-2.48
8 Pb 0.6329 0.3671 0.2500  4 O 2.45-2.48
9 O 0.0399 0.7119 0.9190  1 As 1.79, 1 Rh 1.98
10 O 0.0662 0.2725 0.5111  2 As 1.89-1.93
11 O 0.2725 0.0662 0.0111  2 As 1.89-1.93
12 O 0.2881 0.9601 0.5810  1 As 1.79, 1 Rh 1.98
13 O 0.3544 0.3652 0.3927  1 As 1.73
14 O 0.3652 0.3544 0.8927  1 As 1.73
15 O 0.6348 0.6456 0.1073  1 As 1.73
16 O 0.6456 0.6348 0.6073  1 As 1.73
17 O 0.7119 0.0399 0.4190  1 As 1.79, 1 Rh 1.98
18 O 0.7275 0.9338 0.9889  2 As 1.89-1.93
19 O 0.9338 0.7275 0.4889  2 As 1.89-1.93
20 O 0.9601 0.2881 0.0810  1 As 1.79, 1 Rh 1.98